VASP calculation (PBE) on crystalline ThH8Ir2Au at its relaxed geometry.

a b c (Å): 9.255 4.324 5.925
angles (deg): 90.00 109.14 90.00
Space group C2/m (No. 12)
Unique sites:
Th 0.000 0.000 0.000 [2 per cell]
H 0.132 0.500 0.028 [4 per cell]
H 0.152 0.252 0.760 [8 per cell]
H 0.183 0.000 0.378 [4 per cell]
Ir 0.237 0.500 0.313 [4 per cell]
Au 0.000 0.500 0.500 [2 per cell]

Computed properties:
For the raw total energy, the calculation gives -4.703 eV per atom. The value obtained for the volume is 112.0 Å³/f.u.